DFT (PBE) results for a relaxed Ta2NbZnH crystal.

Lattice parameters (Å, degrees): 4.2486 4.2486 3.9523 90.00 90.00 90.00
With the nearest neighbours (Å) after each atom.
Sites, in units of the cell vectors:
Ta  0.0000  0.5000  0.0000  2 H 2.12
Ta  0.5000  0.0000  0.0000  2 H 2.12
Nb  0.0000  0.0000  0.5000  2 H 1.98
Zn  0.5000  0.5000  0.5000  8 Ta 2.90, 4 Nb 3.00
H  0.0000  0.0000  0.0000  2 Nb 1.98, 4 Ta 2.12

## Properties
Relative energy among the computed polymorphs in eV/atom: 0.000

=====

DFT (PBE) results for a relaxed YAl2Ge crystal.

Lattice parameters (Å, degrees): 6.2191 6.2191 6.2191 102.21 102.21 125.23
With the nearest neighbours (Å) after each atom.
Sites, in units of the cell vectors:
Y  0.0000  0.0000  0.0000  2 Ge 2.86, 4 Al 3.16
Y  0.7500  0.2500  0.5000  2 Ge 2.86, 4 Al 3.16
Al  0.1789  0.1250  0.5539  2 Ge 2.58
Al  0.3750  0.8211  0.9461  2 Ge 2.58
Al  0.5711  0.6250  0.4461  2 Ge 2.58
Al  0.8750  0.4289  0.0539  2 Ge 2.58
Ge  0.2500  0.7500  0.5000  4 Al 2.58, 2 Y 2.86
Ge  0.5000  0.5000  0.0000  4 Al 2.58, 2 Y 2.86

=====

DFT (PBE) results for a relaxed MnNbFe2H crystal.

Lattice parameters (Å, degrees): 3.7296 3.7296 3.7320 90.00 90.00 90.00
With the nearest neighbours (Å) after each atom.
Sites, in units of the cell vectors:
Mn  0.0000  0.0000  0.0000  2 H 1.87
Nb  0.5000  0.5000  0.0000  4 Mn 2.64, 8 Fe 2.64
Fe  0.0000  0.5000  0.5000  2 H 1.86
Fe  0.5000  0.0000  0.5000  2 H 1.86
H  0.0000  0.0000  0.5000  4 Fe 1.86, 2 Mn 1.87

## Properties
Relative energy among the computed polymorphs in eV/atom: 0.000

=====

DFT (PBE) results for a relaxed SiTeF3 crystal.

Lattice parameters (Å, degrees): 4.5831 4.5831 4.5831 90.00 90.00 90.00
With the nearest neighbours (Å) after each atom.
Sites, in units of the cell vectors:
Si  0.0000  0.0000  0.0000  12 F 3.24
Te  0.5000  0.5000  0.5000  6 F 2.29
F  0.0000  0.5000  0.5000  2 Te 2.29
F  0.5000  0.0000  0.5000  2 Te 2.29
F  0.5000  0.5000  0.0000  2 Te 2.29

## Properties
Relative energy among the computed polymorphs in eV/atom: 0.505
E_form (uncorrected) in meV/atom: -545

=====

Number 1: DFT total energy -7.689 eV/atom, N(E_F) 3.7 states/eV/f.u.. Number 2: DFT total energy -4.852 eV/atom, N(E_F) 1.8 states/eV/f.u.. Number 3: DFT total energy -7.906 eV/atom, N(E_F) 4.8 states/eV/f.u.. Number 4: DFT total energy -3.380 eV/atom, N(E_F) 2.7 states/eV/f.u..